Record 1
# Ho4TmCu PBE optimized geometry
# N(E_F) in states/eV/cell: 7.28
# Formation enthalpy at 0 K in eV per atom: -0.06
data_Ho4TmCu
_chemical_formula_sum 'Ho4 Tm1 Cu1'
_cell_length_a 3.4733
_cell_length_b 3.4733
_cell_length_c 13.6512
_cell_angle_alpha 90.00
_cell_angle_beta 90.00
_cell_angle_gamma 90.00
_space_group_name_H-M_alt 'P 4/m m m'
_space_group_IT_number 123
_space_group_name_Hall '-P 4 2'
loop_
_atom_site_label
_atom_site_type_symbol
_atom_site_fract_x
_atom_site_fract_y
_atom_site_fract_z
Ho1 Ho 0.0000 0.0000 0.1254
Ho2 Ho 0.5000 0.5000 0.3178
Tm1 Tm 0.0000 0.0000 0.5000
Cu1 Cu 0.5000 0.5000 0.0000

Record 2
# Ho2Tm3Cu3 PBE optimized geometry
# N(E_F) in states/eV/cell: 13.78
# Formation enthalpy at 0 K in eV per atom: -0.17
data_Ho2Tm3Cu3
_chemical_formula_sum 'Ho4 Tm6 Cu6'
_cell_length_a 3.4920
_cell_length_b 5.0303
_cell_length_c 20.6588
_cell_angle_alpha 90.00
_cell_angle_beta 90.00
_cell_angle_gamma 90.00
_space_group_name_H-M_alt 'I m m m'
_space_group_IT_number 71
_space_group_name_Hall '-I 2 2'
loop_
_atom_site_label
_atom_site_type_symbol
_atom_site_fract_x
_atom_site_fract_y
_atom_site_fract_z
Ho1 Ho 0.0000 0.0000 0.2257
Tm1 Tm 0.0000 0.0000 0.0000
Tm2 Tm 0.0000 0.5000 0.1155
Cu1 Cu 0.0000 0.0000 0.5000
Cu2 Cu 0.0000 0.5000 0.3864

Record 3
# HoTm2Cu PBE optimized geometry
# N(E_F) in states/eV/cell: 9.95
# Formation enthalpy at 0 K in eV per atom: -0.08
# Offset from the most stable computed form in kJ/mol of atoms: 4.21
data_HoTm2Cu
_chemical_formula_sum 'Ho2 Tm4 Cu2'
_cell_length_a 4.8357
_cell_length_b 7.5064
_cell_length_c 6.1923
_cell_angle_alpha 90.00
_cell_angle_beta 112.92
_cell_angle_gamma 90.00
_space_group_name_H-M_alt 'P 1 21/m 1'
_space_group_IT_number 11
_space_group_name_Hall '-P 2yb'
loop_
_atom_site_label
_atom_site_type_symbol
_atom_site_fract_x
_atom_site_fract_y
_atom_site_fract_z
Ho1 Ho 0.0448 0.2500 0.0897
Tm1 Tm 0.3515 0.0341 0.7028
Cu1 Cu 0.2018 0.7500 0.4058

Record 4
# HoTm2Cu6 PBE optimized geometry
# N(E_F) in states/eV/cell: 5.08
# Formation enthalpy at 0 K in eV per atom: -0.26
data_HoTm2Cu6
_chemical_formula_sum 'Ho1 Tm2 Cu6'
_cell_length_a 7.2996
_cell_length_b 7.2996
_cell_length_c 3.4890
_cell_angle_alpha 90.00
_cell_angle_beta 90.00
_cell_angle_gamma 120.00
_space_group_name_H-M_alt 'P 6/m m m'
_space_group_IT_number 191
_space_group_name_Hall '-P 6 2'
loop_
_atom_site_label
_atom_site_type_symbol
_atom_site_fract_x
_atom_site_fract_y
_atom_site_fract_z
Ho1 Ho 0.0000 0.0000 0.0000
Tm1 Tm 0.3333 0.6667 0.0000
Cu1 Cu 0.0000 0.3340 0.5000

Record 5
# HoTmCu2 PBE optimized geometry
# N(E_F) in states/eV/cell: 2.28
# Formation enthalpy at 0 K in eV per atom: -0.28
data_HoTmCu2
_chemical_formula_sum 'Ho1 Tm1 Cu2'
_cell_length_a 4.8646
_cell_length_b 4.8646
_cell_length_c 3.4230
_cell_angle_alpha 90.00
_cell_angle_beta 90.00
_cell_angle_gamma 90.00
_space_group_name_H-M_alt 'P 4/m m m'
_space_group_IT_number 123
_space_group_name_Hall '-P 4 2'
loop_
_atom_site_label
_atom_site_type_symbol
_atom_site_fract_x
_atom_site_fract_y
_atom_site_fract_z
Ho1 Ho 0.0000 0.0000 0.0000
Tm1 Tm 0.5000 0.5000 0.0000
Cu1 Cu 0.0000 0.5000 0.5000

Record 6
# Ho2TmCu PBE optimized geometry
# N(E_F) in states/eV/cell: 16.75
# Formation enthalpy at 0 K in eV per atom: -0.12
# Offset from the most stable computed form in kJ/mol of atoms: 0.00
data_Ho2TmCu
_chemical_formula_sum 'Ho8 Tm4 Cu4'
_cell_length_a 6.7820
_cell_length_b 9.5788
_cell_length_c 6.4311
_cell_angle_alpha 90.00
_cell_angle_beta 90.00
_cell_angle_gamma 90.00
_space_group_name_H-M_alt 'P n m a'
_space_group_IT_number 62
_space_group_name_Hall '-P 2ac 2n'
loop_
_atom_site_label
_atom_site_type_symbol
_atom_site_fract_x
_atom_site_fract_y
_atom_site_fract_z
Ho1 Ho 0.1935 0.0594 0.1883
Tm1 Tm 0.0206 0.2500 0.6299
Cu1 Cu 0.0928 0.7500 0.9537

Record 7
# HoTmCu2 PBE optimized geometry
# N(E_F) in states/eV/cell: 9.16
# Formation enthalpy at 0 K in eV per atom: -0.28
data_HoTmCu2
_chemical_formula_sum 'Ho4 Tm4 Cu8'
_cell_length_a 6.8719
_cell_length_b 6.8719
_cell_length_c 6.8719
_cell_angle_alpha 90.00
_cell_angle_beta 90.00
_cell_angle_gamma 90.00
_space_group_name_H-M_alt 'F m -3 m'
_space_group_IT_number 225
_space_group_name_Hall '-F 4 2 3'
loop_
_atom_site_label
_atom_site_type_symbol
_atom_site_fract_x
_atom_site_fract_y
_atom_site_fract_z
Ho1 Ho 0.0000 0.0000 0.0000
Tm1 Tm 0.0000 0.0000 0.5000
Cu1 Cu 0.2500 0.2500 0.2500

Record 8
# HoTm2Cu PBE optimized geometry
# N(E_F) in states/eV/cell: 5.03
# Formation enthalpy at 0 K in eV per atom: -0.11
# Offset from the most stable computed form in kJ/mol of atoms: 1.02
data_HoTm2Cu
_chemical_formula_sum 'Ho1 Tm2 Cu1'
_cell_length_a 3.4354
_cell_length_b 3.4354
_cell_length_c 8.6103
_cell_angle_alpha 90.00
_cell_angle_beta 90.00
_cell_angle_gamma 90.00
_space_group_name_H-M_alt 'P 4/m m m'
_space_group_IT_number 123
_space_group_name_Hall '-P 4 2'
loop_
_atom_site_label
_atom_site_type_symbol
_atom_site_fract_x
_atom_site_fract_y
_atom_site_fract_z
Ho1 Ho 0.0000 0.0000 0.0000
Tm1 Tm 0.5000 0.5000 0.3021
Cu1 Cu 0.0000 0.0000 0.5000